{"formula": "Na10Co4O9", "functional": "PBE with a Hubbard U", "state": "relaxed", "lattice_angstrom": [[8.4322, 0.0000, 0.0000], [4.0956, 7.4774, 0.0000], [3.8890, -1.3312, 10.6670]], "species": ["Na", "Na", "Na", "Na", "Na", "Na", "Na", "Na", "Na", "Na", "Na", "Na", "Na", "Na", "Na", "Na", "Na", "Na", "Na", "Na", "Co", "Co", "Co", "Co", "Co", "Co", "Co", "Co", "O", "O", "O", "O", "O", "O", "O", "O", "O", "O", "O", "O", "O", "O", "O", "O", "O", "O"], "frac_coords": [[0.0028, 0.1152, 0.3913], [0.0232, 0.5753, 0.1222], [0.1266, 0.1630, 0.6372], [0.1534, 0.4201, 0.3733], [0.2356, 0.0261, 0.8853], [0.3274, 0.6582, 0.3709], [0.3444, 0.1138, 0.1145], [0.3613, 0.3233, 0.8810], [0.3946, 0.7774, 0.6219], [0.4938, 0.3701, 0.1440], [0.5062, 0.6299, 0.8560], [0.6054, 0.2226, 0.3781], [0.6387, 0.6767, 0.1190], [0.6556, 0.8862, 0.8855], [0.6726, 0.3418, 0.6291], [0.7644, 0.9739, 0.1147], [0.8466, 0.5799, 0.6267], [0.8734, 0.8370, 0.3628], [0.9768, 0.4247, 0.8778], [0.9972, 0.8848, 0.6087], [0.0761, 0.7518, 0.8500], [0.2090, 0.8137, 0.1425], [0.2576, 0.4635, 0.6509], [0.4365, 0.9675, 0.3573], [0.5635, 0.0325, 0.6427], [0.7424, 0.5365, 0.3491], [0.7910, 0.1863, 0.8575], [0.9239, 0.2482, 0.1500], [0.0543, 0.9675, 0.7864], [0.1017, 0.2920, 0.0340], [0.1458, 0.5732, 0.5387], [0.1910, 0.6281, 0.2264], [0.2488, 0.9337, 0.4734], [0.2984, 0.2432, 0.7164], [0.3410, 0.5634, 0.7522], [0.4071, 0.8333, 0.0276], [0.4392, 0.1580, 0.2756], [0.5608, 0.8420, 0.7244], [0.5929, 0.1667, 0.9724], [0.6590, 0.4366, 0.2478], [0.7016, 0.7568, 0.2836], [0.7512, 0.0663, 0.5266], [0.8090, 0.3719, 0.7736], [0.8542, 0.4268, 0.4613], [0.8983, 0.7080, 0.9660], [0.9457, 0.0325, 0.2136]], "total_magnetization_mub_per_fu": 12.08, "final_energy_ev_per_cell": -214.16}